Version 1
## GaTeCI2 (PBE)

Data for a geometry-optimized GaTeCI2 structure.

Lattice parameters (Å, degrees): 5.2929 5.2929 4.7605 90.00 90.00 90.00
With the nearest neighbours (Å) after each atom.
Fractional coordinates of all 5 atoms:
C  0.0000  0.0000  0.0000  2 Te 2.38, 4 I 2.65
Te  0.0000  0.0000  0.5000  2 C 2.38
I  0.5000  0.0000  0.0000  2 C 2.65
I  0.0000  0.5000  0.0000  2 C 2.65
Ga  0.5000  0.5000  0.5000  8 I 3.56, 4 Te 3.74

Computed properties:
- Calculated volume: 133 Å³/f.u.
- Total magnetization: 0.000 μB/f.u.
- SG: No. 123

Version 2
## GaTeCI2 (PBE)

Data for a geometry-optimized GaTeCI2 structure.

Lattice parameters (Å, degrees): 5.6074 5.6074 5.5244 90.00 90.00 90.00
With the nearest neighbours (Å) after each atom.
Fractional coordinates of all 5 atoms:
I  0.0000  0.5000  0.0000  2 Ga 2.80
I  0.5000  0.0000  0.0000  2 Ga 2.80
C  0.5000  0.5000  0.5000  8 I 3.94, 4 Te 3.97
Te  0.0000  0.0000  0.5000  2 Ga 2.76
Ga  0.0000  0.0000  0.0000  2 Te 2.76, 4 I 2.80

Computed properties:
- Calculated volume: 174 Å³/f.u.
- Total magnetization: 0.967 μB/f.u.
- SG: No. 123

Which structure loses on stability? version 2 does.

Version 1
## InGa3C (PBE)

Data for a geometry-optimized InGa3C structure.

Lattice parameters (Å, degrees): 5.3047 5.3047 5.3047 90.00 90.00 90.00
With the nearest neighbours (Å) after each atom.
Fractional coordinates of all 5 atoms:
In  0.0000  0.0000  0.0000  6 Ga 2.65
Ga  0.0000  0.5000  0.0000  2 In 2.65
Ga  0.0000  0.0000  0.5000  2 In 2.65
Ga  0.5000  0.0000  0.0000  2 In 2.65
C  0.5000  0.5000  0.5000  12 Ga 3.75

Computed properties:
- Calculated volume: 149 Å³/f.u.
- Total magnetization: 1.803 μB/f.u.
- SG: No. 221

Version 2
## InGa3C (PBE)

Data for a geometry-optimized InGa3C structure.

Lattice parameters (Å, degrees): 4.4522 4.4522 4.4522 90.00 90.00 90.00
With the nearest neighbours (Å) after each atom.
Fractional coordinates of all 5 atoms:
Ga  0.0000  0.5000  0.0000  2 C 2.23
Ga  0.0000  0.0000  0.5000  2 C 2.23
Ga  0.5000  0.0000  0.0000  2 C 2.23
In  0.5000  0.5000  0.5000  12 Ga 3.15
C  0.0000  0.0000  0.0000  6 Ga 2.23

Computed properties:
- Calculated volume: 88 Å³/f.u.
- Total magnetization: 0.000 μB/f.u.
- SG: No. 221

Which structure loses on stability? version 1 does.